Record 1
Crystalline LaHo3Cd6 at its relaxed geometry. Source: the Alexandria database, functional PBE.

Cell: 9.2477 5.2297 11.2314 Å, 90.00 106.67 90.00°
Last column: nearest neighbours and their distance in Å.
Element x y z (fractional)
La 0.0597 0.2500 0.3863  10 Cd 3.21-3.59
La 0.9403 0.7500 0.6137  10 Cd 3.21-3.59
Ho 0.2383 0.2500 0.9988  8 Cd 3.11-3.33
Ho 0.3525 0.7500 0.8034  8 Cd 3.14-3.31
Ho 0.4731 0.2500 0.6079  8 Cd 3.11-3.42
Ho 0.5269 0.7500 0.3921  8 Cd 3.11-3.42
Ho 0.6475 0.2500 0.1966  8 Cd 3.14-3.31
Ho 0.7617 0.7500 0.0012  8 Cd 3.11-3.33
Cd 0.0555 0.7500 0.9119  3 Cd 3.09-3.25, 4 Ho 3.11-3.31, 1 La 3.21
Cd 0.1472 0.7500 0.1993  8 Cd 3.09-3.43
Cd 0.1694 0.2500 0.7004  4 Ho 3.15-3.26, 3 La 3.33-3.38, 1 Cd 3.43
Cd 0.2578 0.7500 0.5120  4 Ho 3.14-3.28, 3 La 3.27-3.44, 1 Cd 3.36
Cd 0.3546 0.2500 0.2897  5 Ho 3.11-3.42, 1 La 3.21, 2 Cd 3.23
Cd 0.4530 0.7500 0.0975  7 Ho 3.16-3.33, 1 Cd 3.34
Cd 0.5470 0.2500 0.9025  7 Ho 3.16-3.33, 1 Cd 3.34
Cd 0.6454 0.7500 0.7103  5 Ho 3.11-3.42, 1 La 3.21, 2 Cd 3.23
Cd 0.7422 0.2500 0.4880  4 Ho 3.14-3.28, 3 La 3.27-3.44, 1 Cd 3.36
Cd 0.8306 0.7500 0.2996  4 Ho 3.15-3.26, 3 La 3.33-3.38, 1 Cd 3.43
Cd 0.8528 0.2500 0.8007  8 Cd 3.09-3.43
Cd 0.9445 0.2500 0.0881  3 Cd 3.09-3.25, 4 Ho 3.11-3.31, 1 La 3.21

Output
Magnetic moment = 0.000 μB/cell
Energy = -0.099 Ha/atom
Crystal system = monoclinic
N(E_F) = 16.7 states/eV/cell



Record 2
Crystalline NiIr5Rh2 at its relaxed geometry. Source: the Alexandria database, functional PBE.

Cell: 5.9899 5.9899 10.7174 Å, 90.00 90.00 138.59°
Last column: nearest neighbours and their distance in Å.
Element x y z (fractional)
Ni 0.1749 0.8251 0.7500  4 Rh 2.63, 6 Ir 2.65-2.72
Ni 0.8251 0.1749 0.2500  4 Rh 2.63, 6 Ir 2.65-2.72
Ir 0.1719 0.8281 0.5022  3 Rh 2.61-2.86, 6 Ir 2.62-2.77, 1 Ni 2.66
Ir 0.1719 0.8281 0.9978  3 Rh 2.61-2.86, 6 Ir 2.62-2.77, 1 Ni 2.66
Ir 0.1825 0.8175 0.2500  6 Ir 2.61-2.71, 2 Ni 2.65, 2 Rh 2.75
Ir 0.3877 0.6123 0.6275  2 Rh 2.42-2.71, 5 Ir 2.61-2.62
Ir 0.3877 0.6123 0.8725  2 Rh 2.42-2.71, 5 Ir 2.61-2.62
Ir 0.6123 0.3877 0.1275  2 Rh 2.42-2.71, 5 Ir 2.61-2.62
Ir 0.6123 0.3877 0.3725  2 Rh 2.42-2.71, 5 Ir 2.61-2.62
Ir 0.8175 0.1825 0.7500  6 Ir 2.61-2.71, 2 Ni 2.65, 2 Rh 2.75
Ir 0.8281 0.1719 0.0022  3 Rh 2.61-2.86, 6 Ir 2.62-2.77, 1 Ni 2.66
Ir 0.8281 0.1719 0.4978  3 Rh 2.61-2.86, 6 Ir 2.62-2.77, 1 Ni 2.66
Rh 0.3964 0.6036 0.1248  4 Ir 2.42-2.71, 2 Ni 2.63, 1 Rh 2.68
Rh 0.3964 0.6036 0.3752  4 Ir 2.42-2.71, 2 Ni 2.63, 1 Rh 2.68
Rh 0.6036 0.3964 0.6248  4 Ir 2.42-2.71, 2 Ni 2.63, 1 Rh 2.68
Rh 0.6036 0.3964 0.8752  4 Ir 2.42-2.71, 2 Ni 2.63, 1 Rh 2.68

Output
Magnetic moment = 0.000 μB/cell
Energy = -0.283 Ha/atom
Crystal system = orthorhombic
N(E_F) = 19.1 states/eV/cell



Energy of formation from the pure elements values (in kJ/mol of atoms) by entry order: -27.1, 38.2.